[1]
Compound: HgPd2Au4
Source: the Alexandria database
Functional: PBE
Structure: optimized geometry

```
HgPd2Au4
1.0
-2.3977 3.3386 5.6548
2.3645 -3.8549 3.2785
6.7537 1.8310 -2.7178
Au Pd Hg
8 4 2
direct
0.1307 0.7500 0.9073
0.5812 0.4994 0.2255
0.5812 0.0006 0.2255
0.9810 0.7500 0.4888
0.4188 0.9994 0.7745
0.8693 0.2500 0.0927
0.4188 0.5006 0.7745
0.0190 0.2500 0.5112
0.3208 0.2500 0.3715
0.8130 0.7500 0.0497
0.6792 0.7500 0.6285
0.1870 0.2500 0.9503
0.2583 0.7500 0.3214
0.7417 0.2500 0.6786
```

Computed properties:
Polymorph energy (0 for the lowest one)   0 meV per atom
Energy relative to the elements   -3 meV/atom
Total energy   -47.64 eV for the cell shown
Calculated density   15.6 g cm⁻³
SG   P2_1/m (11)
D(E_F)   2.10 states/eV/f.u.

=====

[2]
Compound: HgPdAu14
Source: the Alexandria database
Functional: PBE
Structure: optimized geometry

```
HgPdAu14
1.0
6.0223 -0.0129 0.0000
0.0127 6.0223 0.0000
0.0000 0.0000 7.9951
Au Pd Hg
14 1 1
direct
0.3750 0.3750 0.0000
0.6219 0.1281 0.7499
0.1280 0.1280 0.7500
0.6220 0.6220 0.2500
0.3750 0.8750 0.5000
0.1281 0.6219 0.2501
0.1281 0.6219 0.7499
0.1280 0.1280 0.2500
0.6219 0.1281 0.2501
0.6220 0.6220 0.7500
0.8750 0.8750 0.0000
0.8750 0.3750 0.0000
0.8750 0.3750 0.5000
0.3750 0.8750 0.0000
0.3750 0.3750 0.5000
0.8750 0.8750 0.5000
```

Computed properties:
Energy relative to the elements   5 meV/atom
Total energy   -51.30 eV for the cell shown
Calculated density   17.5 g cm⁻³
SG   P4/mmm (123)
D(E_F)   5.57 states/eV/f.u.

=====

[3]
Compound: HgPd3Au4
Source: the Alexandria database
Functional: PBE
Structure: optimized geometry

```
HgPd3Au4
1.0
4.1238 0.0000 0.0000
0.0000 4.1327 0.3396
-2.0619 1.3906 8.2535
Au Pd Hg
4 3 1
direct
0.3703 0.6297 0.7406
0.1297 0.8704 0.2594
0.6297 0.3703 0.2594
0.8703 0.1296 0.7406
0.7508 0.7490 0.5017
0.2492 0.2510 0.4983
0.0000 0.5000 0.0000
0.5000 0.0000 0.0000
```

Computed properties:
Polymorph energy (0 for the lowest one)   0 meV per atom
Energy relative to the elements   -89 meV/atom
Total energy   -29.70 eV for the cell shown
Calculated density   15.7 g cm⁻³
SG   C2/m (12)
D(E_F)   2.43 states/eV/f.u.

=====

[4]
Compound: HgPd3Au5
Source: the Alexandria database
Functional: PBE
Structure: optimized geometry

```
HgPd3Au5
1.0
-1.3697 4.1431 3.7491
2.4513 -2.4600 4.5866
9.6183 5.4369 -1.0164
Au Pd Hg
10 6 2
direct
0.0212 0.5751 0.6736
0.3263 0.6737 0.0000
0.7144 0.7144 0.1254
0.3200 0.3200 0.5174
0.5751 0.0212 0.6736
0.2856 0.2856 0.8746
0.4249 0.9788 0.3264
0.9788 0.4249 0.3264
0.6737 0.3263 0.0000
0.6800 0.6800 0.4826
0.2508 0.2508 0.1303
0.5287 0.5287 0.7041
0.0000 0.0000 0.0000
0.0000 0.0000 0.5000
0.7492 0.7492 0.8697
0.4713 0.4713 0.2959
0.0460 0.0460 0.7386
0.9540 0.9540 0.2614
```

Computed properties:
Energy relative to the elements   200 meV/atom
Total energy   -60.93 eV for the cell shown
Calculated density   13.8 g cm⁻³
SG   C2/m (12)
D(E_F)   4.36 states/eV/f.u.

=====

- Look up the total energy of the fourth one.
  -60.93 eV for the cell shown

=====

Repeat the third record exactly.
Compound: HgPd3Au4
Source: the Alexandria database
Functional: PBE
Structure: optimized geometry

```
HgPd3Au4
1.0
4.1238 0.0000 0.0000
0.0000 4.1327 0.3396
-2.0619 1.3906 8.2535
Au Pd Hg
4 3 1
direct
0.3703 0.6297 0.7406
0.1297 0.8704 0.2594
0.6297 0.3703 0.2594
0.8703 0.1296 0.7406
0.7508 0.7490 0.5017
0.2492 0.2510 0.4983
0.0000 0.5000 0.0000
0.5000 0.0000 0.0000
```

Computed properties:
Polymorph energy (0 for the lowest one)   0 meV per atom
Energy relative to the elements   -89 meV/atom
Total energy   -29.70 eV for the cell shown
Calculated density   15.7 g cm⁻³
SG   C2/m (12)
D(E_F)   2.43 states/eV/f.u.

=====

- Which of these has the lowest calculated density?
  HgPd3Au5